{
  "formula": "Nd2InS",
  "functional": "PBE",
  "state": "relaxed",
  "lattice_angstrom": [[1.978, 1.142, 8.362], [-1.978, 1.142, 8.362], [0.000, -2.285, 8.362]],
  "species": ["Nd", "Nd", "In", "S"],
  "frac_coords": [[0.000, 0.000, 0.000], [0.200, 0.200, 0.200], [0.433, 0.433, 0.433], [0.601, 0.601, 0.601]],
  "dos_ef_per_ev_cell": 4.2,
  "energy_ev_per_fu": -21.0
}